Ho4TcRh: relaxed, PBE.

## Properties
symmetry: No. 109
ΔE_f: -18.8 kJ/mol of atoms
E: -6.1995 eV/atom

POSCAR file:
```
Ho4TcRh
1.0
-5.0261 -5.7258 0.1681
6.7845 -1.7642 2.9889
-2.9014 5.6885 4.1590
Ho Tc Rh
8 2 2
direct
0.2470 0.9483 0.7013 Ho
0.7536 0.4512 0.6976 Ho
0.6983 0.4970 0.2013 Ho
0.2012 0.0036 0.1976 Ho
0.2956 0.4970 0.7987 Ho
0.8060 0.0036 0.8024 Ho
0.7536 0.0560 0.3024 Ho
0.2470 0.5456 0.2987 Ho
0.2494 0.2494 0.0000 Tc
0.9994 0.4994 0.5000 Tc
0.7495 0.7495 0.0000 Rh
0.4995 0.9995 0.5000 Rh
```

***

Ho4TcRh: relaxed, PBE.

## Properties
symmetry: No. 62
ΔE_f: -37.2 kJ/mol of atoms
E: -6.3906 eV/atom

POSCAR file:
```
Ho4TcRh
1.0
-1.4589 0.0746 -4.0505
6.1642 -3.5229 -2.2851
-8.0689 -15.8146 2.6150
Ho Tc Rh
16 4 4
direct
0.7500 0.8996 0.6495 Ho
0.2500 0.1004 0.3505 Ho
0.2500 0.6004 0.1495 Ho
0.7500 0.3996 0.8505 Ho
0.7500 0.8520 0.4529 Ho
0.2500 0.1480 0.5471 Ho
0.2500 0.6480 0.9529 Ho
0.7500 0.3520 0.0471 Ho
0.7500 0.9884 0.9273 Ho
0.2500 0.0116 0.0727 Ho
0.2500 0.5116 0.4273 Ho
0.7500 0.4884 0.5727 Ho
0.7500 0.9342 0.2202 Ho
0.2500 0.0658 0.7798 Ho
0.2500 0.5658 0.7202 Ho
0.7500 0.4342 0.2798 Ho
0.7500 0.2512 0.4386 Tc
0.2500 0.7488 0.5614 Tc
0.2500 0.2488 0.9386 Tc
0.7500 0.7512 0.0614 Tc
0.7500 0.7667 0.7962 Rh
0.2500 0.2333 0.2038 Rh
0.2500 0.7333 0.2962 Rh
0.7500 0.2667 0.7038 Rh
```

***

| no. | spin magnetization (μB per atom) |
| --- | --- |
| 1 | 0.000 |
| 2 | 0.000 |